(1)
An optimized crystal structure of KSb2TeI. Source: the Alexandria database, functional PBE-GGA.

## Properties
Crystal system = tetragonal
E_form (uncorrected) = 101 kJ/mol of atoms
Energy relative to the lowest polymorph listed for this composition = 0.905 eV/atom

Cell: 6.2153 6.2153 5.9351 Å, 90.00 90.00 90.00°
Sites, in units of the cell vectors:
K  0.0000  0.0000  0.0000
Sb  0.0000  0.5000  0.0000
Sb  0.5000  0.0000  0.0000
Te  0.0000  0.0000  0.5000
I  0.5000  0.5000  0.5000

(2)
An optimized crystal structure of CoSnSe. Source: the Alexandria database, functional PBE-GGA.

## Properties
Crystal system = triclinic
E_form (uncorrected) = 11 kJ/mol of atoms

Cell: 2.9992 5.8187 6.9042 Å, 89.98 89.99 89.93°
Sites, in units of the cell vectors:
Co  0.0000  0.0000  0.0000
Co  0.0006  0.4156  0.5009
Sn  0.4998  0.2065  0.7496
Sn  0.4999  0.2091  0.2496
Se  0.0011  0.7062  0.2492
Se  0.0011  0.7095  0.7492

| no. | theoretical density (Mg/m³) |
| --- | --- |
| 1 | 3.89 |
| 2 | 7.07 |